Arrangement one

This record from the Alexandria database describes a relaxed structure of CdRuPt. The functional is PBE-GGA.

The structure in POSCAR format:
```
CdRuPt
1.0
-2.032 3.080 -2.362
0.968 0.501 -4.243
-2.912 -1.154 -3.062
Cd Pt Ru
1 1 1
direct
0.500 0.500 0.500
0.750 0.750 0.750
0.000 0.000 0.000
```

Summary:
Magnetic moment = 2.2 μB/cell
Crystal system = cubic
SG = No. 216

Arrangement two

This record from the Alexandria database describes a relaxed structure of CdRuPt. The functional is PBE-GGA.

The structure in POSCAR format:
```
CdRuPt
1.0
-4.277 -4.366 2.160
-3.685 -5.315 -0.436
1.665 -1.998 1.109
Cd Pt Ru
1 1 1
direct
0.002 0.002 0.998
0.322 0.322 0.678
0.676 0.676 0.324
```

Summary:
Magnetic moment = 0.3 μB/cell
Crystal system = tetragonal
SG = No. 107

Arrangement three

This record from the Alexandria database describes a relaxed structure of CdRuPt. The functional is PBE-GGA.

The structure in POSCAR format:
```
CdRuPt
1.0
2.853 0.000 0.000
-1.427 2.471 0.000
0.000 0.000 6.950
Cd Pt Ru
1 1 1
direct
0.000 0.000 0.998
0.667 0.333 0.349
0.333 0.667 0.654
```

Summary:
Magnetic moment = 0.0 μB/cell
Crystal system = trigonal
SG = No. 156

Which of them is most stable? Easy: arrangement two.

Arrangement one

This record from the Alexandria database describes a relaxed structure of CdRuPt. The functional is PBE-GGA.

The structure in POSCAR format:
```
CdRuPt
1.0
4.565 0.000 0.000
-2.283 3.953 0.000
0.000 0.000 2.785
Cd Pt Ru
1 1 1
direct
0.000 0.000 0.000
0.667 0.333 0.500
0.333 0.667 0.500
```

Summary:
Magnetic moment = 1.0 μB/cell
Crystal system = hexagonal
SG = No. 187

Arrangement two

This record from the Alexandria database describes a relaxed structure of CdRuPt. The functional is PBE-GGA.

The structure in POSCAR format:
```
CdRuPt
1.0
-3.361 3.738 0.405
-4.886 -0.880 0.891
4.776 -0.536 1.531
Cd Pt Ru
1 1 1
direct
0.000 0.000 0.000
0.324 0.324 0.000
0.676 0.676 0.000
```

Summary:
Magnetic moment = 1.2 μB/cell
Crystal system = orthorhombic
SG = No. 44

Which of them is most stable? Easy: arrangement two.